*w*
Compound: Ac2HoEr
Source: Alexandria
Functional: PBE
Structure: optimized geometry

```
Ac2HoEr
1.0
4.970 0.000 0.000
0.000 5.468 0.000
0.000 0.000 5.468
Ac Ho Er
2 1 1
Direct
0.000 0.000 0.500 Ac
0.000 0.500 0.000 Ac
0.500 0.500 0.500 Ho
0.500 0.000 0.000 Er
```

Summary:
Magnetic moment (Bohr magnetons per cell): 0.0

***

*x*
Compound: Ac2HoEr
Source: Alexandria
Functional: PBE
Structure: optimized geometry

```
Ac2HoEr
1.0
3.784 0.000 0.000
1.892 3.277 0.000
1.892 1.092 12.020
Ac Ho Er
2 1 1
Direct
0.084 0.084 0.749 Ac
0.250 0.250 0.251 Ac
0.668 0.668 0.997 Ho
0.499 0.499 0.503 Er
```

Summary:
Magnetic moment (Bohr magnetons per cell): 0.0

***

Structures ranked by computed energy, the most stable listed first: *w*, *x*.

***

*w*
Compound: Ac2Ho12Er5
Source: Alexandria
Functional: PBE
Structure: optimized geometry

```
Ac2Ho12Er5
1.0
-5.906 2.070 -2.473
7.983 -1.046 -11.689
-7.760 -5.814 9.915
Ac Ho Er
2 12 5
Direct
0.724 0.903 0.918 Ac
0.276 0.097 0.082 Ac
0.954 0.144 0.364 Ho
0.151 0.544 0.949 Ho
0.670 0.711 0.100 Ho
0.029 0.355 0.163 Ho
0.571 0.505 0.296 Ho
0.594 0.024 0.786 Ho
0.406 0.976 0.214 Ho
0.971 0.645 0.837 Ho
0.429 0.495 0.704 Ho
0.849 0.456 0.051 Ho
0.330 0.289 0.900 Ho
0.046 0.856 0.636 Ho
0.258 0.591 0.568 Er
0.386 0.780 0.371 Er
0.000 0.000 0.500 Er
0.614 0.220 0.629 Er
0.742 0.409 0.432 Er
```

Summary:
Magnetic moment (Bohr magnetons per cell): 0.0

***

*x*
Compound: Ac2Ho12Er5
Source: Alexandria
Functional: PBE
Structure: optimized geometry

```
Ac2Ho12Er5
1.0
-3.304 6.017 0.185
-4.720 -6.651 4.552
7.413 3.841 7.508
Ac Ho Er
2 12 5
Direct
0.747 0.000 0.000 Ac
0.253 0.000 0.000 Ac
0.053 0.106 0.277 Ho
0.062 0.612 0.770 Ho
0.550 0.612 0.770 Ho
0.144 0.773 0.257 Ho
0.629 0.773 0.257 Ho
0.422 0.844 0.581 Ho
0.578 0.156 0.419 Ho
0.856 0.227 0.743 Ho
0.371 0.227 0.743 Ho
0.938 0.388 0.230 Ho
0.450 0.388 0.230 Ho
0.947 0.894 0.723 Ho
0.210 0.419 0.510 Er
0.236 0.471 0.994 Er
0.000 0.000 0.500 Er
0.764 0.529 0.006 Er
0.790 0.581 0.490 Er
```

Summary:
Magnetic moment (Bohr magnetons per cell): 0.0

***

Structures ranked by computed energy, the most stable listed first: *w*, *x*.

***

*w*
Compound: Ac2Ho5Er12
Source: Alexandria
Functional: PBE
Structure: optimized geometry

```
Ac2Ho5Er12
1.0
-8.913 -2.888 -0.159
-3.123 -5.579 -6.851
3.562 -5.754 5.395
Ac Ho Er
2 5 12
Direct
0.197 0.803 0.000 Ac
0.803 0.197 0.000 Ac
0.782 0.782 0.483 Ho
0.642 0.642 0.140 Ho
0.000 0.000 0.500 Ho
0.358 0.358 0.860 Ho
0.218 0.218 0.517 Ho
0.852 0.852 0.170 Er
0.944 0.572 0.812 Er
0.572 0.944 0.812 Er
0.790 0.414 0.451 Er
0.414 0.790 0.451 Er
0.566 0.566 0.769 Er
0.434 0.434 0.231 Er
0.210 0.586 0.549 Er
0.586 0.210 0.549 Er
0.056 0.428 0.188 Er
0.428 0.056 0.188 Er
0.148 0.148 0.830 Er
```

Summary:
Magnetic moment (Bohr magnetons per cell): 0.0

***

*x*
Compound: Ac2Ho5Er12
Source: Alexandria
Functional: PBE
Structure: optimized geometry

```
Ac2Ho5Er12
1.0
6.964 0.000 0.000
-3.482 10.148 -0.399
0.000 -4.045 9.689
Ac Ho Er
2 5 12
Direct
0.743 0.000 0.000 Ac
0.257 0.000 0.000 Ac
0.346 0.692 0.714 Ho
0.369 0.739 0.218 Ho
0.000 0.000 0.500 Ho
0.631 0.261 0.782 Ho
0.654 0.308 0.286 Ho
0.138 0.275 0.294 Er
0.045 0.608 0.928 Er
0.564 0.608 0.928 Er
0.057 0.619 0.409 Er
0.561 0.619 0.409 Er
0.462 0.924 0.600 Er
0.538 0.076 0.400 Er
0.943 0.381 0.591 Er
0.439 0.381 0.591 Er
0.955 0.392 0.072 Er
0.436 0.392 0.072 Er
0.862 0.725 0.706 Er
```

Summary:
Magnetic moment (Bohr magnetons per cell): 0.0

***

Structures ranked by computed energy, the most stable listed first: *w*, *x*.

***

*w*
Compound: AcHo2Er4
Source: Alexandria
Functional: PBE
Structure: optimized geometry

```
AcHo2Er4
1.0
6.822 0.772 -1.797
-3.504 7.492 -3.080
0.494 -0.418 8.618
Ac Ho Er
2 4 8
Direct
0.085 0.562 0.395 Ac
0.170 0.137 0.122 Ac
0.587 0.554 0.390 Ho
0.061 0.270 0.570 Ho
0.943 0.411 0.959 Ho
0.369 0.817 0.229 Ho
0.765 0.977 0.675 Er
0.475 0.690 0.798 Er
0.570 0.276 0.568 Er
0.668 0.142 0.119 Er
0.971 0.686 0.798 Er
0.856 0.819 0.227 Er
0.451 0.417 0.967 Er
0.277 0.995 0.685 Er
```

Summary:
Magnetic moment (Bohr magnetons per cell): 0.0

***

*x*
Compound: AcHo2Er4
Source: Alexandria
Functional: PBE
Structure: optimized geometry

```
AcHo2Er4
1.0
-4.231 7.980 -2.042
-6.572 -1.192 5.978
8.743 1.540 0.204
Ac Ho Er
2 4 8
Direct
0.059 0.407 0.385 Ac
0.275 0.053 0.948 Ac
0.511 0.404 0.557 Ho
0.504 0.770 0.149 Ho
0.648 0.506 0.314 Ho
0.153 0.386 0.825 Ho
0.816 0.121 0.389 Er
0.315 0.678 0.382 Er
0.898 0.693 0.816 Er
0.865 0.018 0.697 Er
0.185 0.974 0.290 Er
0.511 0.198 0.746 Er
0.633 0.950 0.888 Er
0.878 0.593 0.113 Er
```

Summary:
Magnetic moment (Bohr magnetons per cell): 0.0

***

Structures ranked by computed energy, the most stable listed first: *w*, *x*.

***

*w*
Compound: AcHoEr
Source: Alexandria
Functional: PBE
Structure: optimized geometry

```
AcHoEr
1.0
-2.016 2.348 -2.155
-3.399 -0.484 5.951
6.055 6.357 1.262
Ac Ho Er
2 2 2
Direct
0.913 0.611 0.497 Ac
0.552 0.885 0.231 Ac
0.266 0.316 0.139 Ho
0.199 0.180 0.589 Ho
0.594 0.970 0.841 Er
0.872 0.526 0.887 Er
```

Summary:
Magnetic moment (Bohr magnetons per cell): 0.0

***

*x*
Compound: AcHoEr
Source: Alexandria
Functional: PBE
Structure: optimized geometry

```
AcHoEr
1.0
-4.615 0.005 -0.124
-0.110 -2.286 4.009
-0.074 5.230 2.980
Ac Ho Er
1 1 1
Direct
0.000 0.000 0.000 Ac
0.500 0.500 0.000 Ho
0.500 0.500 0.500 Er
```

Summary:
Magnetic moment (Bohr magnetons per cell): 0.0

***

*y*
Compound: AcHoEr
Source: Alexandria
Functional: PBE
Structure: optimized geometry

```
AcHoEr
1.0
3.564 0.000 0.000
0.000 5.830 0.000
0.000 -2.915 5.049
Ac Ho Er
1 1 1
Direct
0.166 0.000 0.000 Ac
0.666 0.667 0.333 Ho
0.167 0.333 0.667 Er
```

Summary:
Magnetic moment (Bohr magnetons per cell): 0.0

***

*z*
Compound: AcHoEr
Source: Alexandria
Functional: PBE
Structure: optimized geometry

```
AcHoEr
1.0
5.934 -0.001 -0.021
0.001 3.737 0.084
0.035 1.650 9.597
Ac Ho Er
2 2 2
Direct
0.428 0.535 0.024 Ac
0.928 0.972 0.150 Ac
0.928 0.652 0.793 Ho
0.428 0.857 0.380 Ho
0.928 0.305 0.485 Er
0.428 0.204 0.688 Er
```

Summary:
Magnetic moment (Bohr magnetons per cell): 0.0

***

Structures ranked by computed energy, the most stable listed first: *w*, *z*, *y*, *x*.

***

*w*
Compound: AcHo7Er12
Source: Alexandria
Functional: PBE
Structure: optimized geometry

```
AcHo7Er12
1.0
-6.525 -7.176 0.990
8.599 -3.766 -2.631
0.971 4.703 8.485
Ac Ho Er
1 7 12
Direct
0.000 0.000 0.000 Ac
0.500 0.500 0.000 Ho
0.000 0.500 0.500 Ho
0.500 0.000 0.500 Ho
0.500 0.500 0.500 Ho
0.000 0.000 0.500 Ho
0.500 0.000 0.000 Ho
0.000 0.500 0.000 Ho
0.471 0.735 0.736 Er
0.999 0.735 0.264 Er
0.529 0.265 0.264 Er
0.001 0.265 0.736 Er
0.736 0.001 0.265 Er
0.736 0.471 0.735 Er
0.264 0.999 0.735 Er
0.264 0.529 0.265 Er
0.735 0.736 0.471 Er
0.265 0.264 0.529 Er
0.735 0.264 0.999 Er
0.265 0.736 0.001 Er
```

Summary:
Magnetic moment (Bohr magnetons per cell): 0.0

***

*x*
Compound: AcHo7Er12
Source: Alexandria
Functional: PBE
Structure: optimized geometry

```
AcHo7Er12
1.0
8.391 1.202 1.803
-1.179 8.395 1.803
-1.179 -1.569 8.441
Ac Ho Er
1 7 12
Direct
0.000 0.000 0.000 Ac
0.844 0.607 0.939 Ho
0.393 0.061 0.156 Ho
0.061 0.156 0.393 Ho
0.500 0.500 0.500 Ho
0.939 0.844 0.607 Ho
0.607 0.939 0.844 Ho
0.156 0.393 0.061 Ho
0.851 0.276 0.725 Er
0.724 0.275 0.149 Er
0.622 0.135 0.496 Er
0.865 0.504 0.378 Er
0.275 0.149 0.724 Er
0.504 0.378 0.865 Er
0.496 0.622 0.135 Er
0.725 0.851 0.276 Er
0.135 0.496 0.622 Er
0.378 0.865 0.504 Er
0.276 0.725 0.851 Er
0.149 0.724 0.275 Er
```

Summary:
Magnetic moment (Bohr magnetons per cell): 0.0

***

Structures ranked by computed energy, the most stable listed first: *x*, *w*.

***

*w*
Compound: AcHo8Er6
Source: Alexandria
Functional: PBE
Structure: optimized geometry

```
AcHo8Er6
1.0
-5.521 4.227 5.673
-2.466 -3.974 7.659
2.765 2.881 7.642
Ac Ho Er
1 8 6
Direct
0.000 0.000 0.000 Ac
0.256 0.282 0.573 Ho
0.718 0.111 0.427 Ho
0.111 0.744 0.427 Ho
0.577 0.577 0.269 Ho
0.423 0.423 0.731 Ho
0.889 0.256 0.573 Ho
0.282 0.889 0.573 Ho
0.744 0.718 0.427 Ho
0.468 0.898 0.876 Er
0.102 0.242 0.124 Er
0.242 0.532 0.124 Er
0.758 0.468 0.876 Er
0.898 0.758 0.876 Er
0.532 0.102 0.124 Er
```

Summary:
Magnetic moment (Bohr magnetons per cell): 0.0

***

*x*
Compound: AcHo8Er6
Source: Alexandria
Functional: PBE
Structure: optimized geometry

```
AcHo8Er6
1.0
6.382 0.000 0.000
0.000 8.205 -4.737
0.000 0.000 9.475
Ac Ho Er
1 8 6
Direct
0.500 0.000 0.000 Ac
0.913 0.975 0.315 Ho
0.913 0.685 0.659 Ho
0.913 0.341 0.025 Ho
0.087 0.025 0.685 Ho
0.087 0.315 0.341 Ho
0.087 0.659 0.975 Ho
0.840 0.333 0.667 Ho
0.160 0.667 0.333 Ho
0.587 0.681 0.107 Er
0.587 0.893 0.574 Er
0.587 0.426 0.319 Er
0.413 0.319 0.893 Er
0.413 0.107 0.426 Er
0.413 0.574 0.681 Er
```

Summary:
Magnetic moment (Bohr magnetons per cell): 0.0

***

Structures ranked by computed energy, the most stable listed first: *w*, *x*.

***

*w*
Compound: AcHo7Er4
Source: Alexandria
Functional: PBE
Structure: optimized geometry

```
AcHo7Er4
1.0
6.872 1.879 0.884
5.094 7.607 2.454
-1.015 -0.448 8.764
Ac Ho Er
1 7 4
Direct
0.000 0.000 0.000 Ac
0.755 0.500 0.000 Ho
0.245 0.500 0.000 Ho
0.974 0.280 0.663 Ho
0.026 0.720 0.337 Ho
0.224 0.776 0.661 Ho
0.500 0.000 0.000 Ho
0.776 0.224 0.339 Ho
0.534 0.720 0.337 Er
0.466 0.280 0.663 Er
0.721 0.779 0.664 Er
0.279 0.221 0.336 Er
```

Summary:
Magnetic moment (Bohr magnetons per cell): 0.0

***

*x*
Compound: AcHo7Er4
Source: Alexandria
Functional: PBE
Structure: optimized geometry

```
AcHo7Er4
1.0
-1.079 -2.815 -5.189
10.201 -2.199 -4.398
-0.390 -6.780 0.289
Ac Ho Er
1 7 4
Direct
0.000 0.000 0.000 Ac
0.784 0.919 0.514 Ho
0.216 0.081 0.486 Ho
0.049 0.648 0.255 Ho
0.951 0.352 0.745 Ho
0.363 0.513 0.762 Ho
0.500 0.000 0.000 Ho
0.637 0.487 0.238 Ho
0.622 0.225 0.531 Er
0.378 0.775 0.469 Er
0.735 0.688 0.842 Er
0.265 0.312 0.158 Er
```

Summary:
Magnetic moment (Bohr magnetons per cell): 0.0

***

Structures ranked by computed energy, the most stable listed first: *w*, *x*.